Entry 1:
# GGA-PBE Al2CoNi, relaxed
# Fermi-level density of states	2.5	states/eV/f.u.
# uncorrected energy	-5.430	eV per atom
# mass density	5.707	g cm⁻³
# ΔE_f	-336	meV per atom
data_Al2CoNi
_chemical_formula_sum 'Al6 Co3 Ni3'
_cell_length_a 2.7195
_cell_length_b 2.7195
_cell_length_c 23.3854
_cell_angle_alpha 90.00
_cell_angle_beta 90.00
_cell_angle_gamma 120.00
_space_group_name_H-M_alt 'R -3 m'
_space_group_IT_number 166
_space_group_name_Hall '-R 3 2"'
loop_
_atom_site_label
_atom_site_fract_x
_atom_site_fract_y
_atom_site_fract_z
Al1 0.0000 0.0000 0.2491
Co1 0.0000 0.0000 0.5000
Ni1 0.0000 0.0000 0.0000

Entry 2:
# GGA-PBE Al5CoNi4, relaxed
# Fermi-level density of states	7.0	states/eV/f.u.
# uncorrected energy	-5.537	eV per atom
# mass density	5.932	g cm⁻³
# ΔE_f	-642	meV per atom
data_Al5CoNi4
_chemical_formula_sum 'Al5 Co1 Ni4'
_cell_length_a 2.887
_cell_length_b 2.887
_cell_length_c 14.399
_cell_angle_alpha 90.00
_cell_angle_beta 90.00
_cell_angle_gamma 90.00
_space_group_name_H-M_alt 'P 4/m m m'
_space_group_IT_number 123
_space_group_name_Hall '-P 4 2'
loop_
_atom_site_label
_atom_site_fract_x
_atom_site_fract_y
_atom_site_fract_z
Al1 0.000 0.000 0.000
Al2 0.000 0.000 0.201
Al3 0.000 0.000 0.402
Co1 0.500 0.500 0.500
Ni1 0.500 0.500 0.101
Ni2 0.500 0.500 0.301

Entry 3:
# GGA-PBE Al2CoNi, relaxed
# Fermi-level density of states	3.0	states/eV/f.u.
# uncorrected energy	-5.602	eV per atom
# mass density	5.868	g cm⁻³
# ΔE_f	-509	meV per atom
data_Al2CoNi
_chemical_formula_sum 'Al4 Co2 Ni2'
_cell_length_a 8.846
_cell_length_b 2.789
_cell_length_c 4.114
_cell_angle_alpha 90.00
_cell_angle_beta 106.87
_cell_angle_gamma 90.00
_space_group_name_H-M_alt 'C 1 m 1'
_space_group_IT_number 8
_space_group_name_Hall 'C -2y'
loop_
_atom_site_label
_atom_site_fract_x
_atom_site_fract_y
_atom_site_fract_z
Al1 0.000 0.000 0.000
Al2 0.233 0.000 0.628
Co1 0.238 0.500 0.129
Ni1 0.492 0.000 0.493

Which of these has the lowest Fermi-level density of states? number 1

Look up the uncorrected energy of the first one. -5.430 eV per atom

The lowest Fermi-level density of states belongs to which entry? number 1